Entry from the Alexandria database: a geometry-optimized TlCdIn5 structure (PBE).

Cell lengths 4.9383, 4.9383, 8.1876 Å; angles 90.00, 90.00, 90.00 degrees
Closest atoms and distances in Å follow each position.
Sites, in units of the cell vectors:
In (0.0000, 0.5000, 0.7172)  2 Cd 3.04, 2 In 3.38, 2 Tl 3.38
In (0.5000, 0.0000, 0.7172)  2 Cd 3.04, 2 Tl 3.38, 2 In 3.38
In (0.0000, 0.5000, 0.2828)  2 Cd 3.04, 2 In 3.38, 2 Tl 3.38
In (0.5000, 0.0000, 0.2828)  2 Cd 3.04, 2 Tl 3.38, 2 In 3.38
In (0.5000, 0.5000, 0.0000)  8 In 3.38, 4 Tl 3.49
Cd (0.0000, 0.0000, 0.5000)  8 In 3.04
Tl (0.0000, 0.0000, 0.0000)  12 In 3.38-3.49

Computed properties:
Formation energy from the elements (eV/atom): 0.0625
Calculated density (Mg/m³): 7.4
Space-group type: P4/mmm
Spin magnetization (μB/cell): 0.0
DOS at the Fermi energy (states/eV per atom): 0.4387